# SrMg2P2 PBE relaxed
data_SrMg2P2
_chemical_formula_sum 'Sr2 Mg4 P4'
_cell_length_a 7.904
_cell_length_b 7.904
_cell_length_c 3.470
_cell_angle_alpha 90.00
_cell_angle_beta 90.00
_cell_angle_gamma 90.00
_space_group_name_H-M_alt 'P 4/m b m'
_space_group_IT_number 127
_space_group_name_Hall '-P 4 2ab'
loop_
_atom_site_label
_atom_site_type_symbol
_atom_site_fract_x
_atom_site_fract_y
_atom_site_fract_z
_atom_site_occupancy
Sr1 Sr 0.000 0.000 0.000 1
Mg1 Mg 0.133 0.367 0.500 1
P1 P 0.160 0.660 0.000 1
# Size of the total moment, μB per atom: 0.00
# Energy of formation, eV per formula unit: -2.1
# E_tot, eV/cell: -35.547

# SrMgP2 PBE relaxed
data_SrMgP2
_chemical_formula_sum 'Sr2 Mg2 P4'
_cell_length_a 7.972
_cell_length_b 3.891
_cell_length_c 6.155
_cell_angle_alpha 90.00
_cell_angle_beta 107.42
_cell_angle_gamma 90.00
_space_group_name_H-M_alt 'C 1 2/m 1'
_space_group_IT_number 12
loop_
_space_group_symop_operation_xyz
'x,y,z'
'-x,-y,-z'
'-x,y,-z'
'x,-y,z'
'x+1/2,y+1/2,z'
'-x+1/2,-y+1/2,-z'
'-x+1/2,y+1/2,-z'
'x+1/2,-y+1/2,z'
loop_
_atom_site_label
_atom_site_type_symbol
_atom_site_fract_x
_atom_site_fract_y
_atom_site_fract_z
_atom_site_occupancy
Sr1 Sr 0.000 0.000 0.000 1
Mg1 Mg 0.000 0.500 0.500 1
P1 P 0.237 0.000 0.678 1
# Size of the total moment, μB per atom: 0.00
# Energy of formation, eV per formula unit: -2.0
# E_tot, eV/cell: -32.224

# Sr2MgP PBE relaxed
data_Sr2MgP
_chemical_formula_sum 'Sr4 Mg2 P2'
_cell_length_a 3.877
_cell_length_b 5.111
_cell_length_c 12.580
_cell_angle_alpha 90.00
_cell_angle_beta 90.00
_cell_angle_gamma 90.00
_space_group_name_H-M_alt 'I m m 2'
_space_group_IT_number 44
loop_
_space_group_symop_operation_xyz
'x,y,z'
'-x,-y,z'
'-x,y,z'
'x,-y,z'
'x+1/2,y+1/2,z+1/2'
'-x+1/2,-y+1/2,z+1/2'
'-x+1/2,y+1/2,z+1/2'
'x+1/2,-y+1/2,z+1/2'
loop_
_atom_site_label
_atom_site_type_symbol
_atom_site_fract_x
_atom_site_fract_y
_atom_site_fract_z
_atom_site_occupancy
Sr1 Sr 0.000 0.000 0.000 1
Sr2 Sr 0.000 0.500 0.195 1
Mg1 Mg 0.000 0.000 0.362 1
P1 P 0.000 0.500 0.709 1
# Size of the total moment, μB per atom: 0.02
# Energy of formation, eV per formula unit: -1.8
# Distance to the lowest polymorph of the same formula, meV per atom: 109
# E_tot, eV/cell: -24.401

# Sr2MgP PBE relaxed
data_Sr2MgP
_chemical_formula_sum 'Sr2 Mg1 P1'
_cell_length_a 3.940
_cell_length_b 3.940
_cell_length_c 7.715
_cell_angle_alpha 90.00
_cell_angle_beta 90.00
_cell_angle_gamma 90.00
_space_group_name_H-M_alt 'P 4/m m m'
_space_group_IT_number 123
_space_group_name_Hall '-P 4 2'
loop_
_atom_site_label
_atom_site_type_symbol
_atom_site_fract_x
_atom_site_fract_y
_atom_site_fract_z
_atom_site_occupancy
Sr1 Sr 0.000 0.000 0.204 1
Mg1 Mg 0.500 0.500 0.500 1
P1 P 0.500 0.500 0.000 1
# Size of the total moment, μB per atom: 0.00
# Energy of formation, eV per formula unit: -2.1
# Distance to the lowest polymorph of the same formula, meV per atom: 53
# E_tot, eV/cell: -12.427

# SrMgP2 PBE relaxed
data_SrMgP2
_chemical_formula_sum 'Sr2 Mg2 P4'
_cell_length_a 10.398
_cell_length_b 4.252
_cell_length_c 4.537
_cell_angle_alpha 90.00
_cell_angle_beta 100.04
_cell_angle_gamma 90.00
_space_group_name_H-M_alt 'C 1 m 1'
_space_group_IT_number 8
loop_
_space_group_symop_operation_xyz
'x,y,z'
'x,-y,z'
'x+1/2,y+1/2,z'
'x+1/2,-y+1/2,z'
loop_
_atom_site_label
_atom_site_type_symbol
_atom_site_fract_x
_atom_site_fract_y
_atom_site_fract_z
_atom_site_occupancy
Sr1 Sr 0.000 0.000 0.000 1
Mg1 Mg 0.278 0.000 0.613 1
P1 P 0.013 0.500 0.503 1
P2 P 0.200 0.500 0.853 1
# Size of the total moment, μB per atom: 0.00
# Energy of formation, eV per formula unit: -2.4
# E_tot, eV/cell: -32.920

# Sr3Mg2P4 PBE relaxed
data_Sr3Mg2P4
_chemical_formula_sum 'Sr6 Mg4 P8'
_cell_length_a 16.046
_cell_length_b 4.342
_cell_length_c 6.884
_cell_angle_alpha 90.00
_cell_angle_beta 111.77
_cell_angle_gamma 90.00
_space_group_name_H-M_alt 'C 1 2/m 1'
_space_group_IT_number 12
loop_
_space_group_symop_operation_xyz
'x,y,z'
'-x,-y,-z'
'-x,y,-z'
'x,-y,z'
'x+1/2,y+1/2,z'
'-x+1/2,-y+1/2,-z'
'-x+1/2,y+1/2,-z'
'x+1/2,-y+1/2,z'
loop_
_atom_site_label
_atom_site_type_symbol
_atom_site_fract_x
_atom_site_fract_y
_atom_site_fract_z
_atom_site_occupancy
Sr1 Sr 0.000 0.000 0.000 1
Sr2 Sr 0.140 0.000 0.561 1
Mg1 Mg 0.175 0.500 0.977 1
P1 P 0.010 0.500 0.673 1
P2 P 0.207 0.000 0.195 1
# Size of the total moment, μB per atom: 0.00
# Energy of formation, eV per formula unit: -8.7
# E_tot, eV/cell: -77.078